# Cs3Ag2Cl4

Cs3Ag2Cl4 after structural relaxation (PBE, Alexandria).

Properties
The energy relative to the elements, uncorrected is -1.23 eV per atom. The total magnetization is 0.00 μB per formula unit.

Unit cell a=16.973 b=9.252 c=8.891 alpha=90.00 beta=93.45 gamma=90.00
Space group C2/c (No. 15)
Symmetry-distinct sites (fractional):
1 Cs 0.000 0.024 0.250 (multiplicity 4)
2 Cs 0.141 0.411 0.873 (multiplicity 8)
3 Ag 0.186 0.163 0.522 (multiplicity 8)
4 Cl 0.042 0.278 0.525 (multiplicity 8)
5 Cl 0.203 0.051 0.820 (multiplicity 8)